(1)
Computed, not measured: a relaxed structure of FeGeAs2H at the GGA-PBE level of DFT.

abc: 4.905 4.471 4.905
angles: 90.00 90.00 90.00
Each line ends with the local moment (μB).
Element x y z (fractional)
As: 0.500 0.000 0.000  -0.05
As: 0.000 0.000 0.500  -0.02
H: 0.500 0.500 0.500  0.01
Fe: 0.000 0.500 0.000  0.20
Ge: 0.000 0.000 0.000  0.00

Properties
Fermi-level density of states ... 1.65 states/eV/atom
DFT total energy ... -0.2634 Ry/atom
Total magnetization ... 0.019 μB/atom

---

(2)
Computed, not measured: a relaxed structure of Ac8Co3I4Cl at the GGA-PBE level of DFT.

abc: 8.721 9.968 8.728
angles: 116.01 119.97 90.00
Element x y z (fractional)
Ac: 0.242 0.688 0.483
Ac: 0.296 0.313 0.054
Ac: 0.704 0.687 0.946
Ac: 0.726 0.678 0.453
Ac: 0.758 0.313 0.054
Ac: 0.758 0.312 0.517
Ac: 0.274 0.322 0.547
Ac: 0.242 0.687 0.946
Co: 0.000 0.500 0.500
Co: 0.500 0.500 0.000
Co: 0.500 0.500 0.500
I: 0.500 0.000 0.000
I: 0.000 0.000 0.500
I: 0.500 0.000 0.500
I: 0.000 0.000 0.000
Cl: 0.000 0.500 0.000

Properties
Fermi-level density of states ... 0.51 states/eV/atom
DFT total energy ... -0.3416 Ry/atom
Total magnetization ... 0.000 μB/atom

---

(3)
Computed, not measured: a relaxed structure of ThNi4 at the GGA-PBE level of DFT.

abc: 7.314 7.314 7.314
angles: 109.47 109.47 109.47
Element x y z (fractional)
Ni: 0.000 0.353 0.353
Ni: 0.750 0.250 0.500
Ni: 0.802 0.802 0.802
Ni: 0.647 0.000 0.647
Ni: 0.198 0.000 0.000
Ni: 0.500 0.250 0.750
Ni: 0.000 0.000 0.198
Ni: 0.000 0.647 0.647
Ni: 0.500 0.750 0.250
Ni: 0.250 0.750 0.500
Ni: 0.250 0.500 0.750
Ni: 0.750 0.500 0.250
Ni: 0.353 0.000 0.353
Ni: 0.353 0.353 0.000
Ni: 0.000 0.198 0.000
Ni: 0.647 0.647 0.000
Th: 0.452 0.452 0.452
Th: 0.000 0.548 0.000
Th: 0.000 0.000 0.548
Th: 0.548 0.000 0.000

Properties
DFT formation energy ... -294 meV/atom
Fermi-level density of states ... 0.65 states/eV/atom
Total magnetization ... 0.000 μB/atom

---

(4)
Computed, not measured: a relaxed structure of Ga2SiPb2 at the GGA-PBE level of DFT.

abc: 3.730 3.730 9.259
angles: 78.38 78.38 90.00
Element x y z (fractional)
Ga: 0.750 0.250 0.500
Ga: 0.250 0.750 0.500
Pb: 0.595 0.595 0.811
Pb: 0.405 0.405 0.189
Si: 0.000 0.000 0.000

Properties
Fermi-level density of states ... 0.60 states/eV/atom
DFT total energy ... -0.2567 Ry/atom
Total magnetization ... 0.000 μB/atom

---

(5)
Computed, not measured: a relaxed structure of Dy4TlAg3 at the GGA-PBE level of DFT.

abc: 5.195 5.195 9.023
angles: 73.27 73.27 60.00
Element x y z (fractional)
Ag: 0.252 0.252 0.245
Ag: 0.500 0.500 0.500
Ag: 0.748 0.748 0.755
Dy: 0.872 0.872 0.384
Dy: 0.379 0.379 0.864
Dy: 0.128 0.128 0.616
Dy: 0.621 0.621 0.136
Tl: 0.000 0.000 0.000

Properties
DFT formation energy ... -324 meV/atom
Fermi-level density of states ... 0.67 states/eV/atom
Total magnetization ... 0.000 μB/atom

---

(6)
Computed, not measured: a relaxed structure of Pr3NdTl2 at the GGA-PBE level of DFT.

abc: 5.449 9.420 9.686
angles: 122.81 90.00 106.81
Element x y z (fractional)
Nd: 0.127 0.253 0.079
Nd: 0.873 0.747 0.921
Pr: 0.621 0.241 0.690
Pr: 0.057 0.113 0.398
Pr: 0.943 0.887 0.602
Pr: 0.379 0.759 0.310
Pr: 0.697 0.394 0.389
Pr: 0.303 0.606 0.611
Tl: 0.230 0.461 0.869
Tl: 0.770 0.539 0.131
Tl: 0.516 0.032 0.864
Tl: 0.484 0.968 0.136

Properties
DFT formation energy ... -178 meV/atom
Fermi-level density of states ... 1.18 states/eV/atom
Total magnetization ... 0.000 μB/atom

---

Please write out number 3 again, unchanged.
Computed, not measured: a relaxed structure of ThNi4 at the GGA-PBE level of DFT.

abc: 7.314 7.314 7.314
angles: 109.47 109.47 109.47
Element x y z (fractional)
Ni: 0.000 0.353 0.353
Ni: 0.750 0.250 0.500
Ni: 0.802 0.802 0.802
Ni: 0.647 0.000 0.647
Ni: 0.198 0.000 0.000
Ni: 0.500 0.250 0.750
Ni: 0.000 0.000 0.198
Ni: 0.000 0.647 0.647
Ni: 0.500 0.750 0.250
Ni: 0.250 0.750 0.500
Ni: 0.250 0.500 0.750
Ni: 0.750 0.500 0.250
Ni: 0.353 0.000 0.353
Ni: 0.353 0.353 0.000
Ni: 0.000 0.198 0.000
Ni: 0.647 0.647 0.000
Th: 0.452 0.452 0.452
Th: 0.000 0.548 0.000
Th: 0.000 0.000 0.548
Th: 0.548 0.000 0.000

Properties
DFT formation energy ... -294 meV/atom
Fermi-level density of states ... 0.65 states/eV/atom
Total magnetization ... 0.000 μB/atom